No. 1
A plane-wave DFT calculation with PBEsol was carried out for a geometry-optimized MnAlCl2 structure.

The formation energy (no corrections) is -0.34 eV per atom. The total DFT energy (no corrections) is -4.803 eV/atom.

The structure belongs to space group R-3m (No. 166, hexagonal axes); the cell edges are 3.3455, 3.3455 and 26.0641 Å and the angles 90.00°, 90.00° and 120.00°. The distinct sites, in fractional coordinates, are Mn at (0.0000, 0.0000, 0.0000), Al at (0.0000, 0.0000, 0.5000) and Cl at (0.0000, 0.0000, 0.2740).

No. 2
A plane-wave DFT calculation with PBEsol was carried out for a geometry-optimized Zr2Ga3Cu structure.

The total DFT energy (no corrections) is -6.008 eV/atom. The value obtained for the formation energy is -56.5 kJ/mol of atoms.

The structure belongs to space group Cm (No. 8); the cell edges are 9.834, 4.106 and 6.525 Å and the angles 90.00°, 131.42° and 90.00°. The distinct sites, in fractional coordinates, are Zr at (0.000, 0.000, 0.000), Zr at (0.084, 0.000, 0.588), Ga at (0.204, 0.500, 0.996), Ga at (0.370, 0.000, 0.584), Ga at (0.394, 0.000, 0.175) and Cu at (0.210, 0.500, 0.403).

No. 3
A plane-wave DFT calculation with PBEsol was carried out for a geometry-optimized YCoF2 structure.

The formation energy (no corrections) is -1.66 eV per atom. The total DFT energy (no corrections) is -6.264 eV/atom.

The structure belongs to space group I-42d (No. 122); the cell edges are 3.885, 3.885 and 14.449 Å and the angles 90.00°, 90.00° and 90.00°. The distinct sites, in fractional coordinates, are Y at (0.000, 0.000, 0.000), Co at (0.000, 0.000, 0.500) and F at (0.241, 0.250, 0.625).

No. 4
A plane-wave DFT calculation with PBEsol was carried out for a geometry-optimized YZrRu4 structure.

The total DFT energy (no corrections) is -9.710 eV/atom. The value obtained for the formation energy is -26.7 kJ/mol of atoms.

The structure belongs to space group F-43m (No. 216); the cell edges are 7.354, 7.354 and 7.354 Å and the angles 90.00°, 90.00° and 90.00°. The distinct sites, in fractional coordinates, are Y at (0.000, 0.000, 0.000), Zr at (0.250, 0.250, 0.250) and Ru at (0.125, 0.125, 0.625).

> Number 2 is which compound?

Zr2Ga3Cu

> total DFT energy (no corrections) of number 3 (YCoF2)?

-6.264 eV/atom

> Which of these has the highest total DFT energy (no corrections)?

MnAlCl2